No. 1
LiCa2Ta | PBE | relaxed

Values from the calculation:
energy of formation: 880 meV per atom

Cell lengths 5.277, 5.277, 5.277 Å; angles 60.00, 60.00, 60.00 degrees
Sites, in units of the cell vectors:
Ca (0.000, 0.000, 0.000)
Ta (0.750, 0.750, 0.750)
Li (0.500, 0.500, 0.500)
Ca (0.250, 0.250, 0.250)

---

No. 2
LiVCd | PBE | relaxed

Values from the calculation:
energy of formation: 481 meV per atom

Cell lengths 4.830, 4.830, 5.610 Å; angles 90.00, 90.00, 120.00 degrees
Sites, in units of the cell vectors:
Li (0.000, 0.000, 0.000)
Cd (0.333, 0.667, 0.250)
V (0.667, 0.333, 0.250)
Cd (0.667, 0.333, 0.750)
V (0.333, 0.667, 0.750)
Li (0.000, 0.000, 0.500)

---

No. 3
In5Ga2Pb5 | PBE | relaxed

Values from the calculation:
energy of formation: 46 meV per atom

Cell lengths 3.485, 12.740, 8.994 Å; angles 59.18, 78.83, 82.14 degrees
Sites, in units of the cell vectors:
Pb (0.755, 0.302, 0.189)
Ga (0.858, 0.495, 0.789)
In (0.575, 0.742, 0.109)
In (0.678, 0.964, 0.680)
Ga (0.142, 0.505, 0.211)
In (0.500, 0.500, 0.500)
Pb (0.098, 0.233, 0.570)
Pb (0.000, 0.000, 0.000)
In (0.322, 0.036, 0.320)
Pb (0.902, 0.767, 0.430)
In (0.425, 0.258, 0.891)
Pb (0.245, 0.698, 0.811)

---

No. 4
Na3Dy2TmS6 | PBE | relaxed

Values from the calculation:
formation energy (no corrections): -1.85 eV/atom

Cell lengths 6.870, 6.870, 7.062 Å; angles 99.33, 99.33, 120.00 degrees
Sites, in units of the cell vectors:
S (0.075, 0.405, 0.226)
S (0.255, 0.255, 0.775)
Na (0.167, 0.833, 0.500)
S (0.745, 0.745, 0.225)
Na (0.500, 0.500, 0.500)
Na (0.833, 0.167, 0.500)
S (0.925, 0.595, 0.774)
S (0.595, 0.925, 0.774)
Dy (0.333, 0.667, 0.000)
Tm (0.000, 0.000, 0.000)
Dy (0.667, 0.333, 0.000)
S (0.405, 0.075, 0.226)

---

Number 1: raw total energy -0.131 hartree per atom. Number 2: raw total energy -0.129 hartree per atom. Number 3: raw total energy -0.116 hartree per atom. Number 4: raw total energy -0.198 hartree per atom.